## P
Entry from the Open Quantum Materials Database: a relaxed structure of Dy2Er3Lu2Ni2Te2 (PBE).

```
data_Dy2Er3Lu2Ni2Te2
_cell_length_a 3.8173
_cell_length_b 15.3913
_cell_length_c 9.4586
_cell_angle_alpha 90.00
_cell_angle_beta 90.00
_cell_angle_gamma 90.00
_symmetry_space_group_name_H-M 'I m m 2'
_symmetry_Int_Tables_number 44
loop_
_symmetry_equiv_pos_as_xyz
'x,y,z'
'-x,-y,z'
'-x,y,z'
'x,-y,z'
'x+1/2,y+1/2,z+1/2'
'-x+1/2,-y+1/2,z+1/2'
'-x+1/2,y+1/2,z+1/2'
'x+1/2,-y+1/2,z+1/2'
loop_
_atom_site_label
_atom_site_type_symbol
_atom_site_fract_x
_atom_site_fract_y
_atom_site_fract_z
Dy1 Dy 0.0000 0.1342 0.0000
Er1 Er 0.0000 0.0000 0.5812
Er2 Er 0.0000 0.3146 0.2048
Lu1 Lu 0.0000 0.3537 0.8531
Ni1 Ni 0.0000 0.2354 0.5121
Te1 Te 0.0000 0.0000 0.2442
Te2 Te 0.0000 0.5000 0.3476
```

Total moment = 0.01 μB per formula unit

---

## Q
Entry from the Open Quantum Materials Database: a relaxed structure of Dy2Er3Lu2Ni2Te2 (PBE).

```
data_Dy2Er3Lu2Ni2Te2
_cell_length_a 3.8330
_cell_length_b 15.4279
_cell_length_c 9.4789
_cell_angle_alpha 90.00
_cell_angle_beta 90.00
_cell_angle_gamma 90.00
_symmetry_space_group_name_H-M 'I m m 2'
_symmetry_Int_Tables_number 44
loop_
_symmetry_equiv_pos_as_xyz
'x,y,z'
'-x,-y,z'
'-x,y,z'
'x,-y,z'
'x+1/2,y+1/2,z+1/2'
'-x+1/2,-y+1/2,z+1/2'
'-x+1/2,y+1/2,z+1/2'
'x+1/2,-y+1/2,z+1/2'
loop_
_atom_site_label
_atom_site_type_symbol
_atom_site_fract_x
_atom_site_fract_y
_atom_site_fract_z
Dy1 Dy 0.0000 0.1466 0.0000
Er1 Er 0.0000 0.3655 0.8529
Er2 Er 0.0000 0.5000 0.2707
Lu1 Lu 0.0000 0.1852 0.6474
Ni1 Ni 0.0000 0.2637 0.3392
Te1 Te 0.0000 0.0000 0.5043
Te2 Te 0.0000 0.5000 0.6096
```

Total moment = 0.01 μB per formula unit

---

Verdict on stability: P comes out at the bottom.

---

## P
Entry from the Open Quantum Materials Database: a relaxed structure of DyEr4Lu2Ni2Te2 (PBE).

```
data_DyEr4Lu2Ni2Te2
_cell_length_a 3.8362
_cell_length_b 15.4339
_cell_length_c 9.4861
_cell_angle_alpha 90.00
_cell_angle_beta 90.00
_cell_angle_gamma 90.00
_symmetry_space_group_name_H-M 'I m m 2'
_symmetry_Int_Tables_number 44
loop_
_symmetry_equiv_pos_as_xyz
'x,y,z'
'-x,-y,z'
'-x,y,z'
'x,-y,z'
'x+1/2,y+1/2,z+1/2'
'-x+1/2,-y+1/2,z+1/2'
'-x+1/2,y+1/2,z+1/2'
'x+1/2,-y+1/2,z+1/2'
loop_
_atom_site_label
_atom_site_type_symbol
_atom_site_fract_x
_atom_site_fract_y
_atom_site_fract_z
Dy1 Dy 0.0000 0.0000 0.0000
Er1 Er 0.0000 0.1345 0.5820
Er2 Er 0.0000 0.3533 0.7292
Lu1 Lu 0.0000 0.3147 0.3764
Ni1 Ni 0.0000 0.2361 0.0687
Te1 Te 0.0000 0.0000 0.3387
Te2 Te 0.0000 0.5000 0.2332
```

Total moment = 0.02 μB per formula unit

---

## Q
Entry from the Open Quantum Materials Database: a relaxed structure of DyEr4Lu2Ni2Te2 (PBE).

```
data_DyEr4Lu2Ni2Te2
_cell_length_a 3.8367
_cell_length_b 15.4326
_cell_length_c 9.4939
_cell_angle_alpha 90.00
_cell_angle_beta 90.00
_cell_angle_gamma 90.00
_symmetry_space_group_name_H-M 'I m m 2'
_symmetry_Int_Tables_number 44
loop_
_symmetry_equiv_pos_as_xyz
'x,y,z'
'-x,-y,z'
'-x,y,z'
'x,-y,z'
'x+1/2,y+1/2,z+1/2'
'-x+1/2,-y+1/2,z+1/2'
'-x+1/2,y+1/2,z+1/2'
'x+1/2,-y+1/2,z+1/2'
loop_
_atom_site_label
_atom_site_type_symbol
_atom_site_fract_x
_atom_site_fract_y
_atom_site_fract_z
Dy1 Dy 0.0000 0.0000 0.0000
Er1 Er 0.0000 0.3147 0.3760
Er2 Er 0.0000 0.3535 0.7293
Lu1 Lu 0.0000 0.1346 0.5820
Ni1 Ni 0.0000 0.2366 0.0688
Te1 Te 0.0000 0.0000 0.3394
Te2 Te 0.0000 0.5000 0.2321
```

Total moment = 0.01 μB per formula unit

---

Verdict on stability: Q comes out at the bottom.

---

## P
Entry from the Open Quantum Materials Database: a relaxed structure of DyY2Er2Lu2Ni2Te2 (PBE).

```
data_DyY2Er2Lu2Ni2Te2
_cell_length_a 3.8359
_cell_length_b 15.4858
_cell_length_c 9.4815
_cell_angle_alpha 90.00
_cell_angle_beta 90.00
_cell_angle_gamma 90.00
_symmetry_space_group_name_H-M 'I m m 2'
_symmetry_Int_Tables_number 44
loop_
_symmetry_equiv_pos_as_xyz
'x,y,z'
'-x,-y,z'
'-x,y,z'
'x,-y,z'
'x+1/2,y+1/2,z+1/2'
'-x+1/2,-y+1/2,z+1/2'
'-x+1/2,y+1/2,z+1/2'
'x+1/2,-y+1/2,z+1/2'
loop_
_atom_site_label
_atom_site_type_symbol
_atom_site_fract_x
_atom_site_fract_y
_atom_site_fract_z
Dy1 Dy 0.0000 0.0000 0.0000
Y1 Y 0.0000 0.3531 0.2670
Er1 Er 0.0000 0.3152 0.6200
Lu1 Lu 0.0000 0.1333 0.4166
Ni1 Ni 0.0000 0.2402 0.9291
Te1 Te 0.0000 0.0000 0.6604
Te2 Te 0.0000 0.5000 0.7665
```

Total moment = 0.01 μB per formula unit

---

## Q
Entry from the Open Quantum Materials Database: a relaxed structure of DyY2Er2Lu2Ni2Te2 (PBE).

```
data_DyY2Er2Lu2Ni2Te2
_cell_length_a 3.8242
_cell_length_b 15.4718
_cell_length_c 9.5201
_cell_angle_alpha 90.00
_cell_angle_beta 90.00
_cell_angle_gamma 90.00
_symmetry_space_group_name_H-M 'I m m 2'
_symmetry_Int_Tables_number 44
loop_
_symmetry_equiv_pos_as_xyz
'x,y,z'
'-x,-y,z'
'-x,y,z'
'x,-y,z'
'x+1/2,y+1/2,z+1/2'
'-x+1/2,-y+1/2,z+1/2'
'-x+1/2,y+1/2,z+1/2'
'x+1/2,-y+1/2,z+1/2'
loop_
_atom_site_label
_atom_site_type_symbol
_atom_site_fract_x
_atom_site_fract_y
_atom_site_fract_z
Dy1 Dy 0.0000 0.0000 0.0000
Y1 Y 0.0000 0.3152 0.6208
Er1 Er 0.0000 0.1321 0.4190
Lu1 Lu 0.0000 0.3531 0.2699
Ni1 Ni 0.0000 0.2384 0.9272
Te1 Te 0.0000 0.0000 0.6649
Te2 Te 0.0000 0.5000 0.7655
```

Total moment = 0.01 μB per formula unit

---

Verdict on stability: Q comes out at the bottom.

---

## P
Entry from the Open Quantum Materials Database: a relaxed structure of DyY2Er2Lu2Ni2Te2 (PBE).

```
data_DyY2Er2Lu2Ni2Te2
_cell_length_a 3.8247
_cell_length_b 15.4389
_cell_length_c 9.5004
_cell_angle_alpha 90.00
_cell_angle_beta 90.00
_cell_angle_gamma 90.00
_symmetry_space_group_name_H-M 'I m m 2'
_symmetry_Int_Tables_number 44
loop_
_symmetry_equiv_pos_as_xyz
'x,y,z'
'-x,-y,z'
'-x,y,z'
'x,-y,z'
'x+1/2,y+1/2,z+1/2'
'-x+1/2,-y+1/2,z+1/2'
'-x+1/2,y+1/2,z+1/2'
'x+1/2,-y+1/2,z+1/2'
loop_
_atom_site_label
_atom_site_type_symbol
_atom_site_fract_x
_atom_site_fract_y
_atom_site_fract_z
Dy1 Dy 0.0000 0.0000 0.0000
Y1 Y 0.0000 0.3153 0.6229
Er1 Er 0.0000 0.3527 0.2703
Lu1 Lu 0.0000 0.1335 0.4188
Ni1 Ni 0.0000 0.2400 0.9268
Te1 Te 0.0000 0.0000 0.6621
Te2 Te 0.0000 0.5000 0.7689
```

Total moment = 0.01 μB per formula unit

---

## Q
Entry from the Open Quantum Materials Database: a relaxed structure of DyY2Er2Lu2Ni2Te2 (PBE).

```
data_DyY2Er2Lu2Ni2Te2
_cell_length_a 3.8263
_cell_length_b 15.4940
_cell_length_c 9.5076
_cell_angle_alpha 90.00
_cell_angle_beta 90.00
_cell_angle_gamma 90.00
_symmetry_space_group_name_H-M 'I m m 2'
_symmetry_Int_Tables_number 44
loop_
_symmetry_equiv_pos_as_xyz
'x,y,z'
'-x,-y,z'
'-x,y,z'
'x,-y,z'
'x+1/2,y+1/2,z+1/2'
'-x+1/2,-y+1/2,z+1/2'
'-x+1/2,y+1/2,z+1/2'
'x+1/2,-y+1/2,z+1/2'
loop_
_atom_site_label
_atom_site_type_symbol
_atom_site_fract_x
_atom_site_fract_y
_atom_site_fract_z
Dy1 Dy 0.0000 0.0000 0.0000
Y1 Y 0.0000 0.1315 0.4186
Er1 Er 0.0000 0.3149 0.6196
Lu1 Lu 0.0000 0.3529 0.2700
Ni1 Ni 0.0000 0.2372 0.9279
Te1 Te 0.0000 0.0000 0.6655
Te2 Te 0.0000 0.5000 0.7641
```

Total moment = 0.03 μB per formula unit

---

## R
Entry from the Open Quantum Materials Database: a relaxed structure of DyY2Er2Lu2Ni2Te2 (PBE).

```
data_DyY2Er2Lu2Ni2Te2
_cell_length_a 3.8344
_cell_length_b 15.4411
_cell_length_c 9.5280
_cell_angle_alpha 90.00
_cell_angle_beta 90.00
_cell_angle_gamma 90.00
_symmetry_space_group_name_H-M 'I m m 2'
_symmetry_Int_Tables_number 44
loop_
_symmetry_equiv_pos_as_xyz
'x,y,z'
'-x,-y,z'
'-x,y,z'
'x,-y,z'
'x+1/2,y+1/2,z+1/2'
'-x+1/2,-y+1/2,z+1/2'
'-x+1/2,y+1/2,z+1/2'
'x+1/2,-y+1/2,z+1/2'
loop_
_atom_site_label
_atom_site_type_symbol
_atom_site_fract_x
_atom_site_fract_y
_atom_site_fract_z
Dy1 Dy 0.0000 0.0000 0.0000
Y1 Y 0.0000 0.1319 0.4183
Er1 Er 0.0000 0.3520 0.2707
Lu1 Lu 0.0000 0.3148 0.6200
Ni1 Ni 0.0000 0.2358 0.9304
Te1 Te 0.0000 0.0000 0.6662
Te2 Te 0.0000 0.5000 0.7627
```

Total moment = 0.02 μB per formula unit

---

Verdict on stability: P comes out at the bottom.

---

## P
Entry from the Open Quantum Materials Database: a relaxed structure of Dy2Y2Er2LuNi2Te2 (PBE).

```
data_Dy2Y2Er2LuNi2Te2
_cell_length_a 3.8380
_cell_length_b 15.5815
_cell_length_c 9.5705
_cell_angle_alpha 90.00
_cell_angle_beta 90.00
_cell_angle_gamma 90.00
_symmetry_space_group_name_H-M 'I m m 2'
_symmetry_Int_Tables_number 44
loop_
_symmetry_equiv_pos_as_xyz
'x,y,z'
'-x,-y,z'
'-x,y,z'
'x,-y,z'
'x+1/2,y+1/2,z+1/2'
'-x+1/2,-y+1/2,z+1/2'
'-x+1/2,y+1/2,z+1/2'
'x+1/2,-y+1/2,z+1/2'
loop_
_atom_site_label
_atom_site_type_symbol
_atom_site_fract_x
_atom_site_fract_y
_atom_site_fract_z
Dy1 Dy 0.0000 0.1844 0.0000
Y1 Y 0.0000 0.1456 0.6501
Er1 Er 0.0000 0.3672 0.7981
Lu1 Lu 0.0000 0.5000 0.3805
Ni1 Ni 0.0000 0.2605 0.3093
Te1 Te 0.0000 0.0000 0.1453
Te2 Te 0.0000 0.5000 0.0432
```

Total moment = 0.01 μB per formula unit

---

## Q
Entry from the Open Quantum Materials Database: a relaxed structure of Dy2Y2Er2LuNi2Te2 (PBE).

```
data_Dy2Y2Er2LuNi2Te2
_cell_length_a 3.8407
_cell_length_b 15.5801
_cell_length_c 9.5698
_cell_angle_alpha 90.00
_cell_angle_beta 90.00
_cell_angle_gamma 90.00
_symmetry_space_group_name_H-M 'I m m 2'
_symmetry_Int_Tables_number 44
loop_
_symmetry_equiv_pos_as_xyz
'x,y,z'
'-x,-y,z'
'-x,y,z'
'x,-y,z'
'x+1/2,y+1/2,z+1/2'
'-x+1/2,-y+1/2,z+1/2'
'-x+1/2,y+1/2,z+1/2'
'x+1/2,-y+1/2,z+1/2'
loop_
_atom_site_label
_atom_site_type_symbol
_atom_site_fract_x
_atom_site_fract_y
_atom_site_fract_z
Dy1 Dy 0.0000 0.1316 0.0000
Y1 Y 0.0000 0.3156 0.2014
Er1 Er 0.0000 0.3537 0.8504
Lu1 Lu 0.0000 0.0000 0.5818
Ni1 Ni 0.0000 0.2385 0.5095
Te1 Te 0.0000 0.0000 0.2463
Te2 Te 0.0000 0.5000 0.3459
```

Total moment = 0.00 μB per formula unit

---

Verdict on stability: Q comes out at the bottom.